Version i
The following is a PBE calculation of crystalline Cu2Ag3 at its relaxed geometry, from OQMD via LeMat-Bulk.

Values from the calculation:
Symmetry: Pm, No. 6

Cell: 4.8583 2.8440 11.3857 Å, 90.00 96.90 90.00°
Atoms (fractional coordinates):
Cu1 0.9974 0.0000 0.9881
Cu2 0.3959 0.0000 0.1914
Cu3 0.0897 0.5000 0.8110
Cu4 0.6149 0.0000 0.8087
Ag1 0.9051 0.5000 0.1851
Ag2 0.7043 0.5000 0.6138
Ag3 0.2057 0.0000 0.6160
Ag4 0.3012 0.5000 0.3939
Ag5 0.4873 0.5000 0.9949
Ag6 0.7984 0.0000 0.3971



Version ii
The following is a PBE calculation of crystalline Cu2Ag3 at its relaxed geometry, from OQMD via LeMat-Bulk.

Values from the calculation:
Symmetry: C2/m, No. 12

Cell: 6.0867 6.0867 9.3507 Å, 100.11 100.11 27.16°
Atoms (fractional coordinates):
Ag1 0.8047 0.8047 0.4011
Ag2 0.3088 0.3088 0.8939
Ag3 0.1953 0.1953 0.5989
Ag4 0.6912 0.6912 0.1061
Ag5 0.5867 0.5867 0.8015
Ag6 0.4133 0.4133 0.1985
Cu1 0.5000 0.5000 0.5000
Cu2 0.0000 0.0000 0.0000
Cu3 0.0997 0.0997 0.3132
Cu4 0.9003 0.9003 0.6868



Version iii
The following is a PBE calculation of crystalline Cu2Ag3 at its relaxed geometry, from OQMD via LeMat-Bulk.

Values from the calculation:
Symmetry: C2/m, No. 12

Cell: 4.8974 4.8974 11.7336 Å, 99.17 99.17 33.81°
Atoms (fractional coordinates):
Cu1 0.7082 0.7082 0.9116
Cu2 0.6172 0.6172 0.1870
Cu3 0.2918 0.2918 0.0884
Cu4 0.3828 0.3828 0.8130
Ag1 0.5000 0.5000 0.5000
Ag2 0.0000 0.0000 0.0000
Ag3 0.2046 0.2046 0.3879
Ag4 0.0894 0.0894 0.7249
Ag5 0.9106 0.9106 0.2751
Ag6 0.7954 0.7954 0.6121



Version iv
The following is a PBE calculation of crystalline Cu2Ag3 at its relaxed geometry, from OQMD via LeMat-Bulk.

Values from the calculation:
Symmetry: Cm, No. 8

Cell: 11.5128 11.5128 4.7989 Å, 95.62 95.62 14.30°
Atoms (fractional coordinates):
Ag1 0.4014 0.4014 0.8003
Ag2 0.4967 0.4967 0.4812
Ag3 0.1994 0.1994 0.3998
Ag4 0.7010 0.7010 0.9011
Ag5 0.3047 0.3047 0.1120
Ag6 0.0969 0.0969 0.7055
Cu1 0.9005 0.9005 0.3000
Cu2 0.8023 0.8023 0.5993
Cu3 0.5955 0.5955 0.1959
Cu4 0.0017 0.0017 0.0050



Pick the least stable structure from those above. Pick: version iv